(1)
This record from Alexandria describes a PBEsol-optimized structure of Ta2Mo5. The functional is SCAN.

Calculated values
Energy relative to the lowest polymorph listed for this composition, meV/atom: 12
Crystal system: triclinic

```
data_Ta2Mo5
_cell_length_a 2.7537
_cell_length_b 6.8781
_cell_length_c 6.8836
_cell_angle_alpha 118.16
_cell_angle_beta 97.51
_cell_angle_gamma 97.73
_symmetry_space_group_name_H-M 'P -1'
_symmetry_Int_Tables_number 2
_symmetry_space_group_name_Hall '-P 1'
loop_
_atom_site_label
_atom_site_fract_x
_atom_site_fract_y
_atom_site_fract_z
Ta1 0.2082 0.3546 0.2818
Mo1 0.0725 0.7894 0.4282
Mo2 0.3607 0.9273 0.1449
Mo3 0.5000 0.5000 0.0000
```

(2)
This record from Alexandria describes a PBEsol-optimized structure of Ta2Mo. The functional is SCAN.

Calculated values
Energy relative to the lowest polymorph listed for this composition, meV/atom: 54
Crystal system: monoclinic

```
data_Ta2Mo
_cell_length_a 10.1412
_cell_length_b 3.2186
_cell_length_c 6.4501
_cell_angle_alpha 90.00
_cell_angle_beta 107.46
_cell_angle_gamma 90.00
_symmetry_space_group_name_H-M 'C 1 2/m 1'
_symmetry_Int_Tables_number 12
_symmetry_space_group_name_Hall '-C 2y'
loop_
_atom_site_label
_atom_site_fract_x
_atom_site_fract_y
_atom_site_fract_z
Ta1 0.0000 0.0000 0.0000
Ta2 0.0000 0.0000 0.5000
Ta3 0.1727 0.5000 0.3292
Mo1 0.1667 0.5000 0.8362
```

(3)
This record from Alexandria describes a PBEsol-optimized structure of TaMo2. The functional is SCAN.

Calculated values
Total DFT energy (no corrections), eV per atom: -45.564
Crystal system: tetragonal

```
data_TaMo2
_cell_length_a 3.1627
_cell_length_b 3.1627
_cell_length_c 9.5893
_cell_angle_alpha 90.00
_cell_angle_beta 90.00
_cell_angle_gamma 90.00
_symmetry_space_group_name_H-M 'P 4/n m m'
_symmetry_Int_Tables_number 129
loop_
_symmetry_equiv_pos_as_xyz
'x,y,z'
'-x,-y,-z'
'-y+1/2,x,z'
'y+1/2,-x,-z'
'-x+1/2,-y+1/2,z'
'x+1/2,y+1/2,-z'
'y,-x+1/2,z'
'-y,x+1/2,-z'
'x+1/2,-y,-z'
'-x+1/2,y,z'
'-y,-x,-z'
'y,x,z'
'-x,y+1/2,-z'
'x,-y+1/2,z'
'y+1/2,x+1/2,-z'
'-y+1/2,-x+1/2,z'
loop_
_atom_site_label
_atom_site_fract_x
_atom_site_fract_y
_atom_site_fract_z
Ta1 0.2500 0.2500 0.0897
Mo1 0.2500 0.2500 0.4176
Mo2 0.2500 0.2500 0.7417
```

(4)
This record from Alexandria describes a PBEsol-optimized structure of Ta3Mo5. The functional is SCAN.

Calculated values
Energy relative to the lowest polymorph listed for this composition, meV/atom: 74
Crystal system: triclinic

```
data_Ta3Mo5
_cell_length_a 2.7696
_cell_length_b 6.8803
_cell_length_c 6.9306
_cell_angle_alpha 80.82
_cell_angle_beta 82.03
_cell_angle_gamma 82.66
_symmetry_space_group_name_H-M 'P -1'
_symmetry_Int_Tables_number 2
_symmetry_space_group_name_Hall '-P 1'
loop_
_atom_site_label
_atom_site_fract_x
_atom_site_fract_y
_atom_site_fract_z
Ta1 0.0000 0.0000 0.0000
Ta2 0.2611 0.8700 0.3764
Mo1 0.0000 0.5000 0.5000
Mo2 0.2488 0.3794 0.8757
Mo3 0.4981 0.2551 0.2482
```

(5)
This record from Alexandria describes a PBEsol-optimized structure of TaMo7. The functional is SCAN.

Calculated values
Energy relative to the lowest polymorph listed for this composition, meV/atom: 0
Crystal system: cubic

```
data_TaMo7
_cell_length_a 6.2896
_cell_length_b 6.2896
_cell_length_c 6.2896
_cell_angle_alpha 90.00
_cell_angle_beta 90.00
_cell_angle_gamma 90.00
_symmetry_space_group_name_H-M 'I m -3 m'
_symmetry_Int_Tables_number 229
_symmetry_space_group_name_Hall '-I 4 2 3'
loop_
_atom_site_label
_atom_site_fract_x
_atom_site_fract_y
_atom_site_fract_z
Ta1 0.0000 0.0000 0.0000
Mo1 0.0000 0.0000 0.5000
Mo2 0.2500 0.2500 0.2500
```

(6)
This record from Alexandria describes a PBEsol-optimized structure of Ta3Mo5. The functional is SCAN.

Calculated values
Energy relative to the lowest polymorph listed for this composition, meV/atom: 70
Crystal system: orthorhombic

```
data_Ta3Mo5
_cell_length_a 3.1700
_cell_length_b 4.5276
_cell_length_c 17.8965
_cell_angle_alpha 90.00
_cell_angle_beta 90.00
_cell_angle_gamma 90.00
_symmetry_space_group_name_H-M 'I m m 2'
_symmetry_Int_Tables_number 44
_symmetry_space_group_name_Hall 'I 2 -2'
loop_
_atom_site_label
_atom_site_fract_x
_atom_site_fract_y
_atom_site_fract_z
Ta1 0.0000 0.0000 0.0000
Ta2 0.0000 0.0000 0.4964
Ta3 0.0000 0.5000 0.1283
Mo1 0.0000 0.0000 0.2506
Mo2 0.0000 0.0000 0.7532
Mo3 0.0000 0.5000 0.3720
Mo4 0.0000 0.5000 0.6286
Mo5 0.0000 0.5000 0.8721
```

(7)
This record from Alexandria describes a PBEsol-optimized structure of Ta3Mo. The functional is SCAN.

Calculated values
Energy relative to the lowest polymorph listed for this composition, meV/atom: 0
Crystal system: orthorhombic

```
data_Ta3Mo
_cell_length_a 3.2145
_cell_length_b 4.5974
_cell_length_c 9.1799
_cell_angle_alpha 90.00
_cell_angle_beta 90.00
_cell_angle_gamma 90.00
_symmetry_space_group_name_H-M 'I m m m'
_symmetry_Int_Tables_number 71
_symmetry_space_group_name_Hall '-I 2 2'
loop_
_atom_site_label
_atom_site_fract_x
_atom_site_fract_y
_atom_site_fract_z
Ta1 0.0000 0.0000 0.0000
Ta2 0.0000 0.5000 0.2398
Mo1 0.0000 0.0000 0.5000
```

(8)
This record from Alexandria describes a PBEsol-optimized structure of TaMo7. The functional is SCAN.

Calculated values
Energy relative to the lowest polymorph listed for this composition, meV/atom: 4
Crystal system: trigonal

```
data_TaMo7
_cell_length_a 4.4490
_cell_length_b 4.4490
_cell_length_c 21.7592
_cell_angle_alpha 90.00
_cell_angle_beta 90.00
_cell_angle_gamma 120.00
_symmetry_space_group_name_H-M 'R -3 m'
_symmetry_Int_Tables_number 166
_symmetry_space_group_name_Hall '-R 3 2"'
loop_
_atom_site_label
_atom_site_fract_x
_atom_site_fract_y
_atom_site_fract_z
Ta1 0.0000 0.0000 0.0000
Mo1 0.0000 0.0000 0.1263
Mo2 0.0000 0.0000 0.2497
Mo3 0.0000 0.0000 0.3764
Mo4 0.0000 0.0000 0.5000
```

(9)
This record from Alexandria describes a PBEsol-optimized structure of Ta3Mo5. The functional is SCAN.

Calculated values
Energy relative to the lowest polymorph listed for this composition, meV/atom: 40
Crystal system: tetragonal

```
data_Ta3Mo5
_cell_length_a 3.1678
_cell_length_b 3.1678
_cell_length_c 12.8173
_cell_angle_alpha 90.00
_cell_angle_beta 90.00
_cell_angle_gamma 90.00
_symmetry_space_group_name_H-M 'P 4 m m'
_symmetry_Int_Tables_number 99
_symmetry_space_group_name_Hall 'P 4 -2'
loop_
_atom_site_label
_atom_site_fract_x
_atom_site_fract_y
_atom_site_fract_z
Ta1 0.0000 0.0000 0.0000
Ta2 0.0000 0.0000 0.2484
Ta3 0.5000 0.5000 0.8642
Mo1 0.0000 0.0000 0.4952
Mo2 0.0000 0.0000 0.7377
Mo3 0.5000 0.5000 0.1237
Mo4 0.5000 0.5000 0.3777
Mo5 0.5000 0.5000 0.6192
```

(10)
This record from Alexandria describes a PBEsol-optimized structure of Ta3Mo. The functional is SCAN.

Calculated values
Energy relative to the lowest polymorph listed for this composition, meV/atom: 58
Crystal system: tetragonal

```
data_Ta3Mo
_cell_length_a 3.2191
_cell_length_b 3.2191
_cell_length_c 13.0836
_cell_angle_alpha 90.00
_cell_angle_beta 90.00
_cell_angle_gamma 90.00
_symmetry_space_group_name_H-M 'P 4/n m m'
_symmetry_Int_Tables_number 129
loop_
_symmetry_equiv_pos_as_xyz
'x,y,z'
'-x,-y,-z'
'-y+1/2,x,z'
'y+1/2,-x,-z'
'-x+1/2,-y+1/2,z'
'x+1/2,y+1/2,-z'
'y,-x+1/2,z'
'-y,x+1/2,-z'
'x+1/2,-y,-z'
'-x+1/2,y,z'
'-y,-x,-z'
'y,x,z'
'-x,y+1/2,-z'
'x,-y+1/2,z'
'y+1/2,x+1/2,-z'
'-y+1/2,-x+1/2,z'
loop_
_atom_site_label
_atom_site_fract_x
_atom_site_fract_y
_atom_site_fract_z
Ta1 0.2500 0.2500 0.0638
Ta2 0.2500 0.2500 0.3203
Ta3 0.2500 0.2500 0.8081
Mo1 0.2500 0.2500 0.5581
```

(11)
This record from Alexandria describes a PBEsol-optimized structure of Ta3Mo5. The functional is SCAN.

Calculated values
Energy relative to the lowest polymorph listed for this composition, meV/atom: 58
Crystal system: trigonal

```
data_Ta3Mo5
_cell_length_a 4.4949
_cell_length_b 4.4949
_cell_length_c 21.9831
_cell_angle_alpha 90.00
_cell_angle_beta 90.00
_cell_angle_gamma 120.00
_symmetry_space_group_name_H-M 'R 3 m'
_symmetry_Int_Tables_number 160
_symmetry_space_group_name_Hall 'R 3 -2"'
loop_
_atom_site_label
_atom_site_fract_x
_atom_site_fract_y
_atom_site_fract_z
Ta1 0.0000 0.0000 0.0000
Ta2 0.0000 0.0000 0.1266
Ta3 0.0000 0.0000 0.6233
Mo1 0.0000 0.0000 0.2501
Mo2 0.0000 0.0000 0.3762
Mo3 0.0000 0.0000 0.5000
Mo4 0.0000 0.0000 0.7499
Mo5 0.0000 0.0000 0.8738
```

(12)
This record from Alexandria describes a PBEsol-optimized structure of Ta3Mo2. The functional is SCAN.

Calculated values
Energy relative to the lowest polymorph listed for this composition, meV/atom: 360
Crystal system: trigonal

```
data_Ta3Mo2
_cell_length_a 3.0686
_cell_length_b 3.0686
_cell_length_c 31.4188
_cell_angle_alpha 90.00
_cell_angle_beta 90.00
_cell_angle_gamma 120.00
_symmetry_space_group_name_H-M 'R -3 m'
_symmetry_Int_Tables_number 166
_symmetry_space_group_name_Hall '-R 3 2"'
loop_
_atom_site_label
_atom_site_fract_x
_atom_site_fract_y
_atom_site_fract_z
Ta1 0.0000 0.0000 0.0000
Ta2 0.0000 0.0000 0.2025
Mo1 0.0000 0.0000 0.3993
```

(13)
This record from Alexandria describes a PBEsol-optimized structure of Ta2Mo5. The functional is SCAN.

Calculated values
Energy relative to the lowest polymorph listed for this composition, meV/atom: 23
Crystal system: tetragonal

```
data_Ta2Mo5
_cell_length_a 3.1547
_cell_length_b 3.1547
_cell_length_c 22.3449
_cell_angle_alpha 90.00
_cell_angle_beta 90.00
_cell_angle_gamma 90.00
_symmetry_space_group_name_H-M 'I 4/m m m'
_symmetry_Int_Tables_number 139
_symmetry_space_group_name_Hall '-I 4 2'
loop_
_atom_site_label
_atom_site_fract_x
_atom_site_fract_y
_atom_site_fract_z
Ta1 0.0000 0.0000 0.2112
Mo1 0.0000 0.0000 0.0699
Mo2 0.0000 0.0000 0.3611
Mo3 0.0000 0.0000 0.5000
```